No. 1
# Cs2Ag2Se | the Alexandria database | PBE | optimized geometry
data_Cs2Ag2Se
_chemical_formula_sum 'Cs4 Ag4 Se2'
_cell_length_a 7.0862
_cell_length_b 7.0862
_cell_length_c 7.8561
_cell_angle_alpha 90.00
_cell_angle_beta 90.00
_cell_angle_gamma 90.00
_symmetry_space_group_name_H-M 'I 4/m m m'
_symmetry_Int_Tables_number 139
_symmetry_space_group_name_Hall '-I 4 2'
loop_
_atom_site_label
_atom_site_fract_x
_atom_site_fract_y
_atom_site_fract_z
Cs1 0.0000 0.5000 0.2500
Ag1 0.0000 0.0000 0.1677
Se1 0.0000 0.0000 0.5000
# - Uncorrected formation energy: -379 meV per atom
# - Crystal system: tetragonal



No. 2
# CsAg8Se6 | the Alexandria database | PBE | optimized geometry
data_CsAg8Se6
_chemical_formula_sum 'Cs3 Ag24 Se18'
_cell_length_a 7.4263
_cell_length_b 7.4263
_cell_length_c 27.8345
_cell_angle_alpha 90.00
_cell_angle_beta 90.00
_cell_angle_gamma 120.00
_symmetry_space_group_name_H-M 'R -3'
_symmetry_Int_Tables_number 148
_symmetry_space_group_name_Hall '-R 3'
loop_
_atom_site_label
_atom_site_fract_x
_atom_site_fract_y
_atom_site_fract_z
Cs1 0.0000 0.0000 0.0000
Ag1 0.0000 0.0000 0.4352
Ag2 0.0294 0.7729 0.1419
Se1 0.0052 0.7052 0.2391
# - Uncorrected formation energy: -118 meV per atom
# - Crystal system: trigonal



No. 3
# CsAg6Se4 | the Alexandria database | PBE | optimized geometry
data_CsAg6Se4
_chemical_formula_sum 'Cs1 Ag6 Se4'
_cell_length_a 8.1696
_cell_length_b 8.1696
_cell_length_c 4.3724
_cell_angle_alpha 90.00
_cell_angle_beta 90.00
_cell_angle_gamma 120.00
_symmetry_space_group_name_H-M 'P -6 m 2'
_symmetry_Int_Tables_number 187
_symmetry_space_group_name_Hall 'P -6 2'
loop_
_atom_site_label
_atom_site_fract_x
_atom_site_fract_y
_atom_site_fract_z
Cs1 0.0000 0.0000 0.0000
Ag1 0.2041 0.4083 0.5000
Ag2 0.5449 0.0898 0.0000
Se1 0.3333 0.6667 0.0000
Se2 0.3757 0.1879 0.5000
# - Uncorrected formation energy: -137 meV per atom
# - Crystal system: hexagonal



No. 4
# CsAgSe3 | the Alexandria database | PBE | optimized geometry
data_CsAgSe3
_chemical_formula_sum 'Cs1 Ag1 Se3'
_cell_length_a 5.8875
_cell_length_b 5.8875
_cell_length_c 5.8875
_cell_angle_alpha 90.00
_cell_angle_beta 90.00
_cell_angle_gamma 90.00
_symmetry_space_group_name_H-M 'P m -3 m'
_symmetry_Int_Tables_number 221
_symmetry_space_group_name_Hall '-P 4 2 3'
loop_
_atom_site_label
_atom_site_fract_x
_atom_site_fract_y
_atom_site_fract_z
Cs1 0.0000 0.0000 0.0000
Ag1 0.5000 0.5000 0.5000
Se1 0.0000 0.0000 0.5000
# - Uncorrected formation energy: 1139 meV per atom
# - Crystal system: cubic



No. 5
# Cs2AgSe6 | the Alexandria database | PBE | optimized geometry
data_Cs2AgSe6
_chemical_formula_sum 'Cs2 Ag1 Se6'
_cell_length_a 6.7973
_cell_length_b 7.3542
_cell_length_c 7.5095
_cell_angle_alpha 89.21
_cell_angle_beta 84.25
_cell_angle_gamma 64.94
_symmetry_space_group_name_H-M 'P -1'
_symmetry_Int_Tables_number 2
loop_
_symmetry_equiv_pos_as_xyz
'x,y,z'
'-x,-y,-z'
loop_
_atom_site_label
_atom_site_fract_x
_atom_site_fract_y
_atom_site_fract_z
Cs1 0.1534 0.2149 0.3226
Ag1 0.5000 0.5000 0.0000
Se1 0.1327 0.7361 0.2094
Se2 0.2499 0.1448 0.8305
Se3 0.3981 0.3691 0.7159
# - Uncorrected formation energy: -495 meV per atom
# - Crystal system: triclinic



No. 6
# CsAgSe3 | the Alexandria database | PBE | optimized geometry
data_CsAgSe3
_chemical_formula_sum 'Cs1 Ag1 Se3'
_cell_length_a 5.2921
_cell_length_b 5.2921
_cell_length_c 5.2921
_cell_angle_alpha 90.00
_cell_angle_beta 90.00
_cell_angle_gamma 90.00
_symmetry_space_group_name_H-M 'P m -3 m'
_symmetry_Int_Tables_number 221
_symmetry_space_group_name_Hall '-P 4 2 3'
loop_
_atom_site_label
_atom_site_fract_x
_atom_site_fract_y
_atom_site_fract_z
Cs1 0.0000 0.0000 0.0000
Ag1 0.5000 0.5000 0.5000
Se1 0.0000 0.5000 0.5000
# - Uncorrected formation energy: -58 meV per atom
# - Crystal system: cubic



No. 7
# Cs2AgSe | the Alexandria database | PBE | optimized geometry
data_Cs2AgSe
_chemical_formula_sum 'Cs8 Ag4 Se4'
_cell_length_a 8.5310
_cell_length_b 8.5310
_cell_length_c 16.3546
_cell_angle_alpha 90.00
_cell_angle_beta 90.00
_cell_angle_gamma 90.00
_symmetry_space_group_name_H-M 'I -4 2 d'
_symmetry_Int_Tables_number 122
_symmetry_space_group_name_Hall 'I -4 2bw'
loop_
_atom_site_label
_atom_site_fract_x
_atom_site_fract_y
_atom_site_fract_z
Cs1 0.2097 0.2500 0.1250
Ag1 0.0000 0.0000 0.5000
Se1 0.0000 0.0000 0.0000
# - Uncorrected formation energy: -134 meV per atom
# - Crystal system: tetragonal
# - ΔE to the lowest computed polymorph: 0.843 eV/f.u.



No. 8
# Cs6AgSe | the Alexandria database | PBE | optimized geometry
data_Cs6AgSe
_chemical_formula_sum 'Cs12 Ag2 Se2'
_cell_length_a 9.2518
_cell_length_b 16.4242
_cell_length_c 9.1473
_cell_angle_alpha 90.00
_cell_angle_beta 108.08
_cell_angle_gamma 90.00
_symmetry_space_group_name_H-M 'C 1 2/m 1'
_symmetry_Int_Tables_number 12
loop_
_symmetry_equiv_pos_as_xyz
'x,y,z'
'-x,-y,-z'
'-x,y,-z'
'x,-y,z'
'x+1/2,y+1/2,z'
'-x+1/2,-y+1/2,-z'
'-x+1/2,y+1/2,-z'
'x+1/2,-y+1/2,z'
loop_
_atom_site_label
_atom_site_fract_x
_atom_site_fract_y
_atom_site_fract_z
Cs1 0.2238 0.1487 0.2409
Cs2 0.2447 0.0000 0.7725
Ag1 0.0000 0.5000 0.5000
Se1 0.0000 0.0000 0.0000
# - Uncorrected formation energy: -357 meV per atom
# - Crystal system: monoclinic